MgMnBiF6 PBE with a Hubbard U optimized geometry; final energy = -5.284 eV per atom; SG = P-31c, No. 163
1.0
-1.3370 -2.3022 5.0948
-3.2992 -1.0583 -4.5870
4.9596 -7.1328 -1.9216
Mn Mg F Bi
2 2 12 2
Cartesian
-1.4052 -3.2561 -1.8401 Mn
1.7286 -7.2372 0.4264 Mn
-0.7512 -3.6707 1.3872 Mg
1.0746 -6.8225 -2.8009 Mg
-1.9044 -3.5629 3.0609 F
0.1063 -3.9433 -0.4387 F
-2.2284 -3.0053 0.1550 F
-0.6253 -6.3682 -3.8242 F
0.0553 -1.8208 1.6522 F
0.9487 -4.1251 2.4105 F
0.2681 -8.6725 -3.0660 F
0.2171 -6.5500 -0.9751 F
2.2278 -6.9303 -4.4747 F
1.8079 -4.9262 -2.8967 F
2.5518 -7.4879 -1.5688 F
-1.4845 -5.5671 1.4830 F
2.4798 -3.5664 -0.9608 Bi
0.0000 0.0000 0.0000 Bi